## Zn2GaNi (PBE-GGA)

Data for a geometry-optimized Zn2GaNi structure.

a = 4.2313 Å, b = 4.2313 Å, c = 4.2313 Å
α = 60.00°, β = 60.00°, γ = 60.00°
Atoms (fractional coordinates):
Zn 0.0000 0.0000 0.0000
Zn 0.2500 0.2500 0.2500
Ga 0.7500 0.7500 0.7500
Ni 0.5000 0.5000 0.5000

Computed properties:
- calculated total energy (eV for the cell shown) = -11.5
- ρ (g/cm3) = 8.04
- M_tot (μB per atom) = 0.00